1.
This record from Alexandria describes a relaxed Y2AlAu crystal. The functional is PBEsol.

Cell: 5.0488 5.0488 3.5667 Å, 90.00 90.00 90.00°
Element x y z (fractional)
Y 0.0000 0.5000 0.0000
Y 0.5000 0.0000 0.0000
Al 0.0000 0.0000 0.5000
Au 0.5000 0.5000 0.5000

Results
The calculation puts the energy of formation from the pure elements at -0.60 eV per atom. Its symmetry is P4/mmm.

---

2.
This record from Alexandria describes a relaxed AlZn2Au crystal. The functional is PBEsol.

Cell: 4.5428 4.5428 3.2307 Å, 90.00 90.00 110.96°
Element x y z (fractional)
Al 0.0000 0.0000 0.0000
Zn 0.0000 0.5000 0.5000
Zn 0.5000 0.0000 0.5000
Au 0.5000 0.5000 0.0000

Results
The calculation puts the energy of formation from the pure elements at -0.13 eV per atom. Its symmetry is Cmmm.

---

3.
This record from Alexandria describes a relaxed Al2ZnAu crystal. The functional is PBEsol.

Cell: 4.8995 4.8995 4.8995 Å, 132.43 132.43 69.55°
Element x y z (fractional)
Al 0.0000 0.0000 0.0000
Al 0.7500 0.2500 0.5000
Zn 0.2500 0.7500 0.5000
Au 0.5000 0.5000 0.0000

Results
The calculation puts the energy of formation from the pure elements at -0.13 eV per atom. Its symmetry is I-4m2.

---

4.
This record from Alexandria describes a relaxed AlZn2Au crystal. The functional is PBEsol.

Cell: 3.4210 3.4210 5.2639 Å, 90.00 90.00 90.00°
Element x y z (fractional)
Al 0.0000 0.0000 0.0000
Zn 0.0000 0.0000 0.5065
Zn 0.5000 0.5000 0.7293
Au 0.5000 0.5000 0.2292

Results
The calculation puts the energy of formation from the pure elements at -0.16 eV per atom. Its symmetry is P4mm.

---

5.
This record from Alexandria describes a relaxed Al2ZnAu crystal. The functional is PBEsol.

Cell: 8.4835 8.4835 8.4835 Å, 20.25 20.25 20.25°
Element x y z (fractional)
Al 0.0000 0.0000 0.0000
Al 0.2463 0.2463 0.2463
Zn 0.7482 0.7482 0.7482
Au 0.4989 0.4989 0.4989

Results
The calculation puts the energy of formation from the pure elements at -0.12 eV per atom. Its symmetry is R3m.

---

6.
This record from Alexandria describes a relaxed ZrAlAu2 crystal. The functional is PBEsol.

Cell: 3.1263 3.1263 7.0747 Å, 90.00 90.00 90.00°
Element x y z (fractional)
Zr 0.0000 0.0000 0.0000
Al 0.0000 0.0000 0.5000
Au 0.5000 0.5000 0.2806
Au 0.5000 0.5000 0.7194

Results
The calculation puts the energy of formation from the pure elements at -0.54 eV per atom. Its symmetry is P4/mmm.

---

7.
This record from Alexandria describes a relaxed ZrAl2Au2 crystal. The functional is PBEsol.

Cell: 6.4392 6.4392 6.4392 Å, 144.42 144.42 51.21°
Element x y z (fractional)
Zr 0.0000 0.0000 0.0000
Al 0.2500 0.7500 0.5000
Al 0.7500 0.2500 0.5000
Au 0.3876 0.3876 0.0000
Au 0.6124 0.6124 0.0000

Results
The calculation puts the energy of formation from the pure elements at -0.49 eV per atom. Its symmetry is I4/mmm.

---

8.
This record from Alexandria describes a relaxed ZrAlAu2 crystal. The functional is PBEsol.

Cell: 2.9861 4.5664 5.3080 Å, 90.00 90.00 90.00°
Element x y z (fractional)
Zr 0.0000 0.0000 0.0000
Al 0.5000 0.5000 0.2813
Au 0.5000 0.0000 0.4915
Au 0.5000 0.5000 0.7915

Results
The calculation puts the energy of formation from the pure elements at -0.47 eV per atom. Its symmetry is Pmm2.

---

| no. | D(E_F) (states/eV/atom) | energy (eV per atom) |
| --- | --- | --- |
| 1 | 0.81 | -6.02 |
| 2 | 0.32 | -2.93 |
| 3 | 0.33 | -3.55 |
| 4 | 0.27 | -2.96 |
| 5 | 0.25 | -3.54 |
| 6 | 0.67 | -5.80 |
| 7 | 0.55 | -5.51 |
| 8 | 0.66 | -5.73 |